MoW2Br | PBE | relaxed

The value obtained for the raw formation energy is 0.958 eV/atom. The relative energy among the computed polymorphs comes out at 1.702 eV per formula unit.

abc: 5.4017 5.4017 5.4017
angles: 147.29 129.39 61.57
Positions (direct):
1 Mo 0.2616 0.7616 0.5000
2 W 0.7413 0.2413 0.5000
3 W 0.9976 0.9976 0.0000
4 Br 0.4995 0.4995 0.0000